NiIO2F: relaxed, PBE with a Hubbard U.

Output
SG = P4/mmm
E_tot = -3.535 eV/atom

abc: 4.039 4.039 3.847
angles: 90.00 90.00 90.00
Sites, in units of the cell vectors:
Ni  0.000  0.000  0.000
I  0.500  0.500  0.500
O  0.000  0.500  0.000
O  0.500  0.000  0.000
F  0.000  0.000  0.500